A geometry-optimized MnCdIn structure, computed with PBE.

Lattice parameters (Å, degrees): 3.043 3.043 12.805 90.00 90.00 90.00
Space group I4mm (No. 107)
Symmetry-distinct sites (fractional):
Mn1 0.000 0.000 0.000
Cd1 0.000 0.000 0.347
In1 0.000 0.000 0.650

Computed properties:
The calculation puts the raw total energy at -4.065 eV per atom. Its calculated volume is 118.5 Å³ per cell.